(1)
Density functional theory data (GGA-PBE) for crystalline Ge2IrCl at its relaxed geometry.

Values from the calculation:
spin magnetization: 0.0 Bohr magnetons per cell
crystal system: tetragonal
D(E_F): 0.8 states/eV/f.u.
raw formation energy: 0.003 eV/atom

Cell lengths 6.1311, 6.1311, 7.0440 Å; angles 64.20, 64.20, 90.00 degrees
With the nearest neighbours (Å) after each atom.
Atoms (fractional coordinates):
1 Ge 0.6927 0.1250 0.2500  2 Ir 2.35
2 Ge 0.0573 0.6250 0.2500  2 Ir 2.35
3 Ge 0.3750 0.3073 0.7500  2 Ir 2.35
4 Ge 0.8750 0.9427 0.7500  2 Ir 2.35
5 Ir 0.0000 0.0000 0.0000  4 Ge 2.35
6 Ir 0.7500 0.2500 0.5000  4 Ge 2.35
7 Cl 0.5000 0.5000 0.0000  4 Ge 2.84
8 Cl 0.2500 0.7500 0.5000  4 Ge 2.84

---

(2)
Density functional theory data (GGA-PBE) for crystalline GeIrCl3 at its relaxed geometry.

Values from the calculation:
spin magnetization: 3.8 Bohr magnetons per cell
crystal system: cubic
D(E_F): 4.9 states/eV/f.u.
raw formation energy: 0.734 eV/atom

Cell lengths 5.1012, 5.1012, 5.1012 Å; angles 90.00, 90.00, 90.00 degrees
With the nearest neighbours (Å) after each atom.
Atoms (fractional coordinates):
1 Ge 0.0000 0.0000 0.0000  6 Cl 2.55
2 Ir 0.5000 0.5000 0.5000  12 Cl 3.61
3 Cl 0.0000 0.5000 0.0000  2 Ge 2.55
4 Cl 0.0000 0.0000 0.5000  2 Ge 2.55
5 Cl 0.5000 0.0000 0.0000  2 Ge 2.55

---

(3)
Density functional theory data (GGA-PBE) for crystalline GeIrCl at its relaxed geometry.

Values from the calculation:
spin magnetization: 0.0 Bohr magnetons per cell
crystal system: triclinic
D(E_F): 0.5 states/eV/f.u.
raw formation energy: -0.170 eV/atom

Cell lengths 3.9174, 4.8050, 8.0300 Å; angles 95.36, 102.43, 94.58 degrees
With the nearest neighbours (Å) after each atom.
Atoms (fractional coordinates):
1 Ge 0.0013 0.4443 0.4120  4 Ir 2.40-2.62, 1 Cl 2.41
2 Ge 0.4004 0.9853 0.5864  4 Ir 2.44-2.52
3 Ir 0.8109 0.9069 0.4008  4 Ge 2.40-2.62, 1 Cl 2.41
4 Ir 0.5784 0.4933 0.5979  4 Ge 2.41-2.52, 2 Cl 2.58-2.61
5 Cl 0.8787 0.1278 0.1510  1 Ge 2.41, 1 Ir 2.41
6 Cl 0.1771 0.5621 0.8159  2 Ir 2.58-2.61

---

(4)
Density functional theory data (GGA-PBE) for crystalline Ge2IrCl at its relaxed geometry.

Values from the calculation:
spin magnetization: 0.0 Bohr magnetons per cell
crystal system: cubic
D(E_F): 1.7 states/eV/f.u.
raw formation energy: 0.409 eV/atom

Cell lengths 4.6224, 4.6224, 4.6224 Å; angles 60.00, 60.00, 60.00 degrees
With the nearest neighbours (Å) after each atom.
Atoms (fractional coordinates):
1 Ge 0.2500 0.2500 0.2500  4 Cl 2.83, 4 Ir 2.83
2 Ge 0.7500 0.7500 0.7500  4 Cl 2.83, 4 Ir 2.83
3 Ir 0.5000 0.5000 0.5000  8 Ge 2.83
4 Cl 0.0000 0.0000 0.0000  8 Ge 2.83

---

(5)
Density functional theory data (GGA-PBE) for crystalline GeIr2Cl at its relaxed geometry.

Values from the calculation:
spin magnetization: 0.0 Bohr magnetons per cell
crystal system: cubic
D(E_F): 6.5 states/eV/f.u.
raw formation energy: 0.665 eV/atom

Cell lengths 4.4155, 4.4155, 4.4155 Å; angles 60.00, 60.00, 60.00 degrees
With the nearest neighbours (Å) after each atom.
Atoms (fractional coordinates):
1 Ge 0.5000 0.5000 0.5000  8 Ir 2.70
2 Ir 0.2500 0.2500 0.2500  4 Ge 2.70, 4 Cl 2.70
3 Ir 0.7500 0.7500 0.7500  4 Ge 2.70, 4 Cl 2.70
4 Cl 0.0000 0.0000 0.0000  8 Ir 2.70

---

(6)
Density functional theory data (GGA-PBE) for crystalline GeIrCl at its relaxed geometry.

Values from the calculation:
spin magnetization: 0.0 Bohr magnetons per cell
crystal system: triclinic
D(E_F): 0.9 states/eV/f.u.
raw formation energy: -0.157 eV/atom

Cell lengths 3.1172, 4.5437, 9.9351 Å; angles 85.04, 81.30, 69.96 degrees
With the nearest neighbours (Å) after each atom.
Atoms (fractional coordinates):
1 Ge 0.8888 0.6723 0.6436  1 Cl 2.30, 3 Ir 2.41-2.50
2 Ge 0.1782 0.3710 0.3533  2 Cl 2.48-2.49, 3 Ir 2.48-2.63
3 Ir 0.6154 0.2541 0.6073  3 Ge 2.41-2.50, 1 Cl 2.53
4 Ir 0.4144 0.8174 0.4390  5 Ge 2.48-2.63
5 Cl 0.7600 0.4022 0.1564  2 Ge 2.48-2.49
6 Cl 0.6505 0.9633 0.8363  1 Ge 2.30, 1 Ir 2.53

---

no.,total energy (eV/cell)
1,-39.864
2,-15.347
3,-31.668
4,-18.306
5,-21.527
6,-31.593